A relaxed structure of TbAl3Cu3, computed with PBE.

a b c (Å): 6.580 6.580 6.580
angles (deg): 71.63 71.63 71.63
Atoms (fractional coordinates):
Tb: 0.175 0.175 0.175
Tb: 0.825 0.825 0.825
Al: 0.070 0.685 0.358
Al: 0.315 0.642 0.930
Al: 0.358 0.070 0.685
Al: 0.642 0.930 0.315
Al: 0.685 0.358 0.070
Al: 0.930 0.315 0.642
Cu: 0.182 0.455 0.725
Cu: 0.275 0.818 0.545
Cu: 0.455 0.725 0.182
Cu: 0.545 0.275 0.818
Cu: 0.725 0.182 0.455
Cu: 0.818 0.545 0.275

## Properties
- Energy above the lowest structure with this stoichiometry: 14 meV per atom
- Density of states at the Fermi level: 0.2820 states/eV/atom
- Crystal system: trigonal